Entry from the Alexandria database: a geometry-optimized Sc2MnCo structure (PBE).

## Properties
ΔH_f (0 K)	0.045	eV per atom
density	5.12	Mg/m³
V	132.1	Å³ per cell
density of states at the Fermi level	9.25	states/eV/cell

```
data_Sc2MnCo
_space_group_name_H-M_alt 'I -4 m 2'
_space_group_IT_number 119
_space_group_name_Hall 'I -4 -2'
_cell_length_a 3.749
_cell_length_b 3.749
_cell_length_c 9.403
_cell_angle_alpha 90.00
_cell_angle_beta 90.00
_cell_angle_gamma 90.00
loop_
_atom_site_label
_atom_site_type_symbol
_atom_site_fract_x
_atom_site_fract_y
_atom_site_fract_z
Sc1 Sc 0.000 0.000 0.000
Sc2 Sc 0.000 0.500 0.250
Mn1 Mn 0.000 0.000 0.500
Co1 Co 0.000 0.500 0.750
```